# 1
! TbEr4Zn2 (PBE-GGA, relaxed); values from VASP
&SYSTEM
  ibrav = 0, nat = 7, ntyp = 3
/
ATOMIC_SPECIES
Tb 158.93 Tb.upf
Er 167.26 Er.upf
Zn 65.41 Zn.upf
CELL_PARAMETERS angstrom
2.449 1.414 9.809
-2.449 1.414 9.809
0.000 -2.828 9.809
ATOMIC_POSITIONS crystal
Tb 0.000 0.000 0.000
Er 0.202 0.202 0.202
Er 0.399 0.399 0.399
Er 0.601 0.601 0.601
Er 0.798 0.798 0.798
Zn 0.100 0.100 0.100
Zn 0.900 0.900 0.900
! Symmetry ... No. 166
! E_tot ... -24.49 eV for the cell shown

***

# 2
! Y2Mg2Sn (PBE-GGA, relaxed); values from VASP
&SYSTEM
  ibrav = 0, nat = 10, ntyp = 3
/
ATOMIC_SPECIES
Y 88.91 Y.upf
Mg 24.30 Mg.upf
Sn 118.71 Sn.upf
CELL_PARAMETERS angstrom
7.420 0.000 0.000
0.000 7.420 0.000
0.000 0.000 4.843
ATOMIC_POSITIONS crystal
Y 0.168 0.332 0.000
Y 0.332 0.832 0.000
Y 0.668 0.168 0.000
Y 0.832 0.668 0.000
Mg 0.133 0.633 0.500
Mg 0.367 0.133 0.500
Mg 0.633 0.867 0.500
Mg 0.867 0.367 0.500
Sn 0.000 0.000 0.500
Sn 0.500 0.500 0.500
! Symmetry ... No. 127
! E above lowest polymorph ... 0.0 meV per atom

***

# 3
! LaThMgZr (PBE-GGA, relaxed); values from VASP
&SYSTEM
  ibrav = 0, nat = 16, ntyp = 4
/
ATOMIC_SPECIES
La 138.91 La.upf
Th 232.04 Th.upf
Mg 24.30 Mg.upf
Zr 91.22 Zr.upf
CELL_PARAMETERS angstrom
7.708 0.000 0.000
0.000 7.708 0.000
0.000 0.000 7.708
ATOMIC_POSITIONS crystal
La 0.000 0.000 0.000
La 0.000 0.500 0.500
La 0.500 0.000 0.500
La 0.500 0.500 0.000
Th 0.000 0.000 0.500
Th 0.000 0.500 0.000
Th 0.500 0.000 0.000
Th 0.500 0.500 0.500
Mg 0.250 0.250 0.750
Mg 0.250 0.750 0.250
Mg 0.750 0.250 0.250
Mg 0.750 0.750 0.750
Zr 0.250 0.250 0.250
Zr 0.250 0.750 0.750
Zr 0.750 0.250 0.750
Zr 0.750 0.750 0.250
! Symmetry ... No. 216
! E_tot ... -87.80 eV for the cell shown

***

# 4
! Na3TeCl (PBE-GGA, relaxed); values from VASP
&SYSTEM
  ibrav = 0, nat = 5, ntyp = 3
/
ATOMIC_SPECIES
Na 22.99 Na.upf
Te 127.60 Te.upf
Cl 35.45 Cl.upf
CELL_PARAMETERS angstrom
5.807 0.000 0.000
0.000 5.807 0.000
0.000 0.000 5.807
ATOMIC_POSITIONS crystal
Na 0.000 0.000 0.500
Na 0.000 0.500 0.000
Na 0.500 0.000 0.000
Te 0.000 0.000 0.000
Cl 0.500 0.500 0.500
! Symmetry ... No. 221
! E above lowest polymorph ... 170.1 meV per atom

***

# 5
! LiAs2Pt (PBE-GGA, relaxed); values from VASP
&SYSTEM
  ibrav = 0, nat = 8, ntyp = 3
/
ATOMIC_SPECIES
Li 6.94 Li.upf
As 74.92 As.upf
Pt 195.08 Pt.upf
CELL_PARAMETERS angstrom
7.332 0.000 0.000
0.000 3.743 0.000
-1.460 0.000 5.364
ATOMIC_POSITIONS crystal
Li 0.000 0.000 0.000
Li 0.500 0.500 0.000
As 0.228 0.000 0.707
As 0.272 0.500 0.293
As 0.728 0.500 0.707
As 0.772 0.000 0.293
Pt 0.000 0.500 0.500
Pt 0.500 0.000 0.500
! Symmetry ... No. 12
! E_tot ... -37.67 eV for the cell shown

***

# 6
! Pr8Ho3Tm4 (PBE-GGA, relaxed); values from VASP
&SYSTEM
  ibrav = 0, nat = 15, ntyp = 3
/
ATOMIC_SPECIES
Pr 140.91 Pr.upf
Ho 164.93 Ho.upf
Tm 168.93 Tm.upf
CELL_PARAMETERS angstrom
6.910 -6.116 0.000
6.910 6.116 0.000
-3.231 0.000 6.090
ATOMIC_POSITIONS crystal
Pr 0.205 0.205 0.184
Pr 0.207 0.793 0.000
Pr 0.255 0.745 0.500
Pr 0.256 0.256 0.723
Pr 0.744 0.744 0.277
Pr 0.745 0.255 0.500
Pr 0.793 0.207 0.000
Pr 0.795 0.795 0.816
Ho 0.000 0.000 0.500
Ho 0.000 0.500 0.500
Ho 0.500 0.000 0.500
Tm 0.000 0.500 0.000
Tm 0.500 0.000 0.000
Tm 0.500 0.500 0.000
Tm 0.500 0.500 0.500
! Symmetry ... No. 12
! E_tot ... -64.83 eV for the cell shown

***

# 7
! PrZn7Ag5 (PBE-GGA, relaxed); values from VASP
&SYSTEM
  ibrav = 0, nat = 13, ntyp = 3
/
ATOMIC_SPECIES
Pr 140.91 Pr.upf
Zn 65.41 Zn.upf
Ag 107.87 Ag.upf
CELL_PARAMETERS angstrom
-2.729 4.683 4.588
2.729 -4.683 4.588
2.729 4.683 -4.588
ATOMIC_POSITIONS crystal
Pr 0.000 0.000 0.000
Zn 0.212 0.492 0.720
Zn 0.337 0.983 0.354
Zn 0.350 0.350 0.000
Zn 0.629 0.983 0.646
Zn 0.639 0.639 0.000
Zn 0.771 0.492 0.280
Zn 0.805 0.305 0.500
Ag 0.209 0.709 0.500
Ag 0.500 0.486 0.510
Ag 0.500 0.990 0.014
Ag 0.976 0.486 0.986
Ag 0.976 0.990 0.490
! Symmetry ... No. 44
! E_tot ... -29.21 eV for the cell shown

***

- Number 5 is which compound?
  LiAs2Pt